Arrangement w

# TlIr2Rh | the Alexandria database | PBE | optimized geometry
data_TlIr2Rh
_cell_length_a 2.8933
_cell_length_b 2.8933
_cell_length_c 27.2104
_cell_angle_alpha 90.00
_cell_angle_beta 90.00
_cell_angle_gamma 120.00
_symmetry_space_group_name_H-M 'R 3 m'
_symmetry_Int_Tables_number 160
_symmetry_space_group_name_Hall 'R 3 -2"'
loop_
_atom_site_label
_atom_site_type_symbol
_atom_site_fract_x
_atom_site_fract_y
_atom_site_fract_z
Tl1 Tl 0.0000 0.0000 0.0000
Ir1 Ir 0.0000 0.0000 0.5011
Ir2 Ir 0.0000 0.0000 0.7571
Rh1 Rh 0.0000 0.0000 0.2463
# spin magnetization: 0.00 Bohr magnetons per cell

***

Arrangement x

# TlIr2Rh | the Alexandria database | PBE | optimized geometry
data_TlIr2Rh
_cell_length_a 6.409
_cell_length_b 6.409
_cell_length_c 6.409
_cell_angle_alpha 90.00
_cell_angle_beta 90.00
_cell_angle_gamma 90.00
_symmetry_space_group_name_H-M 'F m -3 m'
_symmetry_Int_Tables_number 225
_symmetry_space_group_name_Hall '-F 4 2 3'
loop_
_atom_site_label
_atom_site_type_symbol
_atom_site_fract_x
_atom_site_fract_y
_atom_site_fract_z
Tl1 Tl 0.000 0.000 0.000
Ir1 Ir 0.250 0.250 0.250
Rh1 Rh 0.000 0.000 0.500
# spin magnetization: 4.61 Bohr magnetons per cell

***

Arrangement y

# TlIr2Rh | the Alexandria database | PBE | optimized geometry
data_TlIr2Rh
_cell_length_a 9.309
_cell_length_b 2.872
_cell_length_c 4.954
_cell_angle_alpha 90.00
_cell_angle_beta 100.15
_cell_angle_gamma 90.00
_symmetry_space_group_name_H-M 'C 1 2/m 1'
_symmetry_Int_Tables_number 12
_symmetry_space_group_name_Hall '-C 2y'
loop_
_atom_site_label
_atom_site_type_symbol
_atom_site_fract_x
_atom_site_fract_y
_atom_site_fract_z
Tl1 Tl 0.000 0.000 0.000
Ir1 Ir 0.245 0.000 0.724
Rh1 Rh 0.000 0.500 0.500
# spin magnetization: 0.00 Bohr magnetons per cell

***

Arrangement z

# TlIr2Rh | the Alexandria database | PBE | optimized geometry
data_TlIr2Rh
_cell_length_a 6.411
_cell_length_b 6.411
_cell_length_c 6.411
_cell_angle_alpha 90.00
_cell_angle_beta 90.00
_cell_angle_gamma 90.00
_symmetry_space_group_name_H-M 'F -4 3 m'
_symmetry_Int_Tables_number 216
_symmetry_space_group_name_Hall 'F -4 2 3'
loop_
_atom_site_label
_atom_site_type_symbol
_atom_site_fract_x
_atom_site_fract_y
_atom_site_fract_z
Tl1 Tl 0.000 0.000 0.000
Ir1 Ir 0.000 0.000 0.500
Ir2 Ir 0.250 0.250 0.750
Rh1 Rh 0.250 0.250 0.250
# spin magnetization: 4.37 Bohr magnetons per cell

***

The most stable of them is arrangement y.

***

Arrangement w

# TlIr2Rh | the Alexandria database | PBE | optimized geometry
data_TlIr2Rh
_cell_length_a 2.876
_cell_length_b 4.719
_cell_length_c 4.829
_cell_angle_alpha 90.00
_cell_angle_beta 90.00
_cell_angle_gamma 90.00
_symmetry_space_group_name_H-M 'P m m m'
_symmetry_Int_Tables_number 47
_symmetry_space_group_name_Hall '-P 2 2'
loop_
_atom_site_label
_atom_site_type_symbol
_atom_site_fract_x
_atom_site_fract_y
_atom_site_fract_z
Tl1 Tl 0.000 0.000 0.000
Ir1 Ir 0.000 0.500 0.500
Ir2 Ir 0.500 0.000 0.500
Rh1 Rh 0.500 0.500 0.000
# spin magnetization: 0.00 Bohr magnetons per cell

***

Arrangement x

# TlIr2Rh | the Alexandria database | PBE | optimized geometry
data_TlIr2Rh
_cell_length_a 5.722
_cell_length_b 7.876
_cell_length_c 2.881
_cell_angle_alpha 90.00
_cell_angle_beta 90.00
_cell_angle_gamma 90.00
_symmetry_space_group_name_H-M 'C m m m'
_symmetry_Int_Tables_number 65
_symmetry_space_group_name_Hall '-C 2 2'
loop_
_atom_site_label
_atom_site_type_symbol
_atom_site_fract_x
_atom_site_fract_y
_atom_site_fract_z
Tl1 Tl 0.000 0.000 0.000
Ir1 Ir 0.250 0.250 0.500
Rh1 Rh 0.000 0.500 0.000
# spin magnetization: 0.00 Bohr magnetons per cell

***

The most stable of them is arrangement x.

***

Arrangement w

# TlIr2Rh | the Alexandria database | PBE | optimized geometry
data_TlIr2Rh
_cell_length_a 3.901
_cell_length_b 3.901
_cell_length_c 18.964
_cell_angle_alpha 90.00
_cell_angle_beta 90.00
_cell_angle_gamma 90.00
_symmetry_space_group_name_H-M 'I -4 2 d'
_symmetry_Int_Tables_number 122
_symmetry_space_group_name_Hall 'I -4 2bw'
loop_
_atom_site_label
_atom_site_type_symbol
_atom_site_fract_x
_atom_site_fract_y
_atom_site_fract_z
Tl1 Tl 0.000 0.000 0.000
Ir1 Ir 0.201 0.250 0.625
Rh1 Rh 0.000 0.000 0.500
# spin magnetization: 0.00 Bohr magnetons per cell

***

Arrangement x

# TlIr2Rh | the Alexandria database | PBE | optimized geometry
data_TlIr2Rh
_cell_length_a 2.844
_cell_length_b 4.825
_cell_length_c 9.714
_cell_angle_alpha 90.00
_cell_angle_beta 90.00
_cell_angle_gamma 90.00
_symmetry_space_group_name_H-M 'I m m 2'
_symmetry_Int_Tables_number 44
_symmetry_space_group_name_Hall 'I 2 -2'
loop_
_atom_site_label
_atom_site_type_symbol
_atom_site_fract_x
_atom_site_fract_y
_atom_site_fract_z
Tl1 Tl 0.000 0.000 0.000
Ir1 Ir 0.000 0.000 0.507
Ir2 Ir 0.000 0.500 0.236
Rh1 Rh 0.000 0.500 0.767
# spin magnetization: 0.00 Bohr magnetons per cell

***

The most stable of them is arrangement x.